SbIrN3: relaxed, PBE-GGA.

CIF file:
```
data_SbIrN3
_chemical_formula_sum 'Sb1 Ir1 N3'
_cell_length_a 3.9669
_cell_length_b 3.9669
_cell_length_c 3.9669
_cell_angle_alpha 90.00
_cell_angle_beta 90.00
_cell_angle_gamma 90.00
_space_group_name_H-M_alt 'P m -3 m'
_space_group_IT_number 221
_space_group_name_Hall '-P 4 2 3'
loop_
_atom_site_label
_atom_site_type_symbol
_atom_site_fract_x
_atom_site_fract_y
_atom_site_fract_z
Sb1 Sb 0.0000 0.0000 0.0000
Ir1 Ir 0.5000 0.5000 0.5000
N1 N 0.0000 0.0000 0.5000
```

Computed properties:
Final energy, eV/atom: -5.47
Energy relative to the elements, uncorrected, eV/atom: 2.12